Entry 1:
This record from Alexandria via LeMat-Bulk describes a geometry-optimized LiPa2NiS6 structure. The functional is PBE.

```
data_LiPa2NiS6
_symmetry_space_group_name_H-M 'P 1'
_symmetry_Int_Tables_number 1
_cell_length_a 6.4174
_cell_length_b 6.4166
_cell_length_c 7.1334
_cell_angle_alpha 63.27
_cell_angle_beta 63.26
_cell_angle_gamma 60.00
loop_
_symmetry_equiv_pos_as_xyz
'x,y,z'
loop_
_atom_site_label
_atom_site_type_symbol
_atom_site_fract_x
_atom_site_fract_y
_atom_site_fract_z
_atom_site_occupancy
S1 S 0.0985 0.4244 0.7587 1
S2 S 0.9445 0.5747 0.2433 1
S3 S 0.4243 0.7183 0.7588 1
S4 S 0.5748 0.2374 0.2435 1
S5 S 0.2375 0.9445 0.2433 1
S6 S 0.7183 0.0986 0.7588 1
Pa1 Pa 0.5091 0.5091 0.4728 1
Pa2 Pa 0.0044 0.0045 0.9867 1
Ni1 Ni 0.3327 0.3327 0.0010 1
Li1 Li 0.8173 0.8174 0.5483 1
```

* energy relative to the elements, uncorrected: -1.2349 eV per atom
* symmetry: R3



Entry 2:
This record from Alexandria via LeMat-Bulk describes a geometry-optimized TaTcP structure. The functional is PBE.

```
data_TaTcP
_symmetry_space_group_name_H-M 'P 1'
_symmetry_Int_Tables_number 1
_cell_length_a 4.1746
_cell_length_b 4.1746
_cell_length_c 4.1746
_cell_angle_alpha 60.00
_cell_angle_beta 60.00
_cell_angle_gamma 60.00
loop_
_symmetry_equiv_pos_as_xyz
'x,y,z'
loop_
_atom_site_label
_atom_site_type_symbol
_atom_site_fract_x
_atom_site_fract_y
_atom_site_fract_z
_atom_site_occupancy
Tc1 Tc 0.2500 0.2500 0.2500 1
Ta1 Ta 0.5000 0.5000 0.5000 1
P1 P 0.0000 0.0000 0.0000 1
```

* ΔE_f: -0.117 eV/atom
* symmetry: F-43m
* polymorph energy (0 for the lowest one): 10.333 kcal/mol of atoms



Entry 3:
This record from Alexandria via LeMat-Bulk describes a geometry-optimized Tl2WI2Cl4 structure. The functional is PBE.

```
data_Tl2WI2Cl4
_symmetry_space_group_name_H-M 'P 1'
_symmetry_Int_Tables_number 1
_cell_length_a 7.3347
_cell_length_b 7.6252
_cell_length_c 7.6252
_cell_angle_alpha 56.40
_cell_angle_beta 62.16
_cell_angle_gamma 62.16
loop_
_symmetry_equiv_pos_as_xyz
'x,y,z'
loop_
_atom_site_label
_atom_site_type_symbol
_atom_site_fract_x
_atom_site_fract_y
_atom_site_fract_z
_atom_site_occupancy
Cl1 Cl 0.3023 0.2044 0.7383 1
Cl2 Cl 0.6977 0.7956 0.2617 1
Cl3 Cl 0.3023 0.7383 0.2044 1
Cl4 Cl 0.6977 0.2617 0.7956 1
Tl1 Tl 0.6883 0.2550 0.2550 1
Tl2 Tl 0.3117 0.7450 0.7450 1
I1 I 0.8024 0.7589 0.7589 1
I2 I 0.1976 0.2411 0.2411 1
W1 W 0.5000 0.0000 0.0000 1
```

* energy relative to the elements, uncorrected: -0.7206 eV per atom
* symmetry: C2/m



Entry 4:
This record from Alexandria via LeMat-Bulk describes a geometry-optimized CeNp3Se6 structure. The functional is PBE.

```
data_CeNp3Se6
_symmetry_space_group_name_H-M 'P 1'
_symmetry_Int_Tables_number 1
_cell_length_a 4.1511
_cell_length_b 11.4940
_cell_length_c 12.0521
_cell_angle_alpha 107.96
_cell_angle_beta 90.00
_cell_angle_gamma 90.00
loop_
_symmetry_equiv_pos_as_xyz
'x,y,z'
loop_
_atom_site_label
_atom_site_type_symbol
_atom_site_fract_x
_atom_site_fract_y
_atom_site_fract_z
_atom_site_occupancy
Se1 Se 0.2500 0.1934 0.2467 1
Se2 Se 0.7500 0.7399 0.2733 1
Se3 Se 0.2500 0.8825 0.5381 1
Se4 Se 0.2500 0.0871 0.9025 1
Se5 Se 0.7500 0.8066 0.7533 1
Se6 Se 0.7500 0.4851 0.6153 1
Se7 Se 0.7500 0.9129 0.0975 1
Se8 Se 0.7500 0.1175 0.4619 1
Se9 Se 0.2500 0.6057 0.9421 1
Se10 Se 0.2500 0.2601 0.7267 1
Se11 Se 0.2500 0.5149 0.3847 1
Se12 Se 0.7500 0.3943 0.0579 1
Np1 Np 0.2500 0.8453 0.9200 1
Np2 Np 0.7500 0.1547 0.0800 1
Np3 Np 0.7500 0.4372 0.8350 1
Np4 Np 0.2500 0.3159 0.4997 1
Np5 Np 0.7500 0.6841 0.5003 1
Np6 Np 0.2500 0.5628 0.1650 1
Ce1 Ce 0.7500 0.0480 0.6937 1
Ce2 Ce 0.2500 0.9520 0.3063 1
```

* energy relative to the elements, uncorrected: -1.2797 eV per atom
* symmetry: P2_1/m



Entry 5:
This record from Alexandria via LeMat-Bulk describes a geometry-optimized Rb3In2H9 structure. The functional is PBE.

```
data_Rb3In2H9
_symmetry_space_group_name_H-M 'P 1'
_symmetry_Int_Tables_number 1
_cell_length_a 5.9499
_cell_length_b 5.9499
_cell_length_c 7.5023
_cell_angle_alpha 90.00
_cell_angle_beta 90.00
_cell_angle_gamma 120.00
loop_
_symmetry_equiv_pos_as_xyz
'x,y,z'
loop_
_atom_site_label
_atom_site_type_symbol
_atom_site_fract_x
_atom_site_fract_y
_atom_site_fract_z
_atom_site_occupancy
Rb1 Rb 0.0000 0.0000 0.0000 1
Rb2 Rb 0.3333 0.6667 0.3407 1
Rb3 Rb 0.6667 0.3333 0.6593 1
H1 H 0.3537 0.1769 0.2973 1
H2 H 0.5000 0.5000 0.0000 1
H3 H 0.1769 0.8231 0.7027 1
H4 H 0.5000 0.0000 0.0000 1
H5 H 0.1769 0.3537 0.7027 1
H6 H 0.8231 0.6463 0.2973 1
H7 H 0.8231 0.1769 0.2973 1
H8 H 0.0000 0.5000 0.0000 1
H9 H 0.6463 0.8231 0.7027 1
In1 In 0.3333 0.6667 0.8244 1
In2 In 0.6667 0.3333 0.1756 1
```

* symmetry: P-3m1



Entry 6:
This record from Alexandria via LeMat-Bulk describes a geometry-optimized Pu2BeGa3Pt4 structure. The functional is PBE.

```
data_Pu2BeGa3Pt4
_symmetry_space_group_name_H-M 'P 1'
_symmetry_Int_Tables_number 1
_cell_length_a 4.1158
_cell_length_b 4.1158
_cell_length_c 10.8004
_cell_angle_alpha 90.00
_cell_angle_beta 90.00
_cell_angle_gamma 90.00
loop_
_symmetry_equiv_pos_as_xyz
'x,y,z'
loop_
_atom_site_label
_atom_site_type_symbol
_atom_site_fract_x
_atom_site_fract_y
_atom_site_fract_z
_atom_site_occupancy
Ga1 Ga 0.5000 0.0000 0.8618 1
Ga2 Ga 0.0000 0.5000 0.1382 1
Ga3 Ga 0.0000 0.0000 0.5000 1
Be1 Be 0.5000 0.5000 0.5000 1
Pu1 Pu 0.5000 0.0000 0.2603 1
Pu2 Pu 0.0000 0.5000 0.7397 1
Pt1 Pt 0.0000 0.5000 0.3712 1
Pt2 Pt 0.5000 0.5000 0.0000 1
Pt3 Pt 0.0000 0.0000 0.0000 1
Pt4 Pt 0.5000 0.0000 0.6288 1
```

* ΔE_f: -0.701 eV/atom
* symmetry: P-4m2



Entry 7:
This record from Alexandria via LeMat-Bulk describes a geometry-optimized KHgPd3 structure. The functional is PBE.

```
data_KHgPd3
_symmetry_space_group_name_H-M 'P 1'
_symmetry_Int_Tables_number 1
_cell_length_a 5.1798
_cell_length_b 5.1798
_cell_length_c 5.1798
_cell_angle_alpha 90.00
_cell_angle_beta 90.00
_cell_angle_gamma 90.00
loop_
_symmetry_equiv_pos_as_xyz
'x,y,z'
loop_
_atom_site_label
_atom_site_type_symbol
_atom_site_fract_x
_atom_site_fract_y
_atom_site_fract_z
_atom_site_occupancy
K1 K 0.5000 0.5000 0.5000 1
Hg1 Hg 0.0000 0.0000 0.0000 1
Pd1 Pd 0.0000 0.0000 0.5000 1
Pd2 Pd 0.5000 0.0000 0.0000 1
Pd3 Pd 0.0000 0.5000 0.0000 1
```

* ΔE_f: 0.453 eV/atom
* symmetry: Pm-3m
* polymorph energy (0 for the lowest one): 9.329 kcal/mol of atoms



Entry 8:
This record from Alexandria via LeMat-Bulk describes a geometry-optimized Nd3Sm2Dy6Pu structure. The functional is PBE.

```
data_Nd3Sm2Dy6Pu
_symmetry_space_group_name_H-M 'P 1'
_symmetry_Int_Tables_number 1
_cell_length_a 6.2141
_cell_length_b 6.2141
_cell_length_c 11.7746
_cell_angle_alpha 95.05
_cell_angle_beta 95.05
_cell_angle_gamma 120.04
loop_
_symmetry_equiv_pos_as_xyz
'x,y,z'
loop_
_atom_site_label
_atom_site_type_symbol
_atom_site_fract_x
_atom_site_fract_y
_atom_site_fract_z
_atom_site_occupancy
Dy1 Dy 0.4108 0.0820 0.2462 1
Dy2 Dy 0.5892 0.9180 0.7538 1
Dy3 Dy 0.7531 0.7531 0.2463 1
Dy4 Dy 0.2469 0.2469 0.7537 1
Dy5 Dy 0.9180 0.5892 0.7538 1
Dy6 Dy 0.0820 0.4108 0.2462 1
Pu1 Pu 0.0000 0.0000 0.0000 1
Sm1 Sm 0.6666 0.3334 0.0000 1
Sm2 Sm 0.3334 0.6666 0.0000 1
Nd1 Nd 0.5000 0.5000 0.5000 1
Nd2 Nd 0.8330 0.1670 0.5000 1
Nd3 Nd 0.1670 0.8330 0.5000 1
```

* ΔE_f: 0.043 eV/atom
* symmetry: C2/m



Entry 9:
This record from Alexandria via LeMat-Bulk describes a geometry-optimized MnZnSeN2 structure. The functional is PBE.

```
data_MnZnSeN2
_symmetry_space_group_name_H-M 'P 1'
_symmetry_Int_Tables_number 1
_cell_length_a 3.7294
_cell_length_b 3.7294
_cell_length_c 5.5262
_cell_angle_alpha 90.00
_cell_angle_beta 90.00
_cell_angle_gamma 90.00
loop_
_symmetry_equiv_pos_as_xyz
'x,y,z'
loop_
_atom_site_label
_atom_site_type_symbol
_atom_site_fract_x
_atom_site_fract_y
_atom_site_fract_z
_atom_site_occupancy
N1 N 0.0000 0.5000 0.0000 1
N2 N 0.5000 0.0000 0.0000 1
Se1 Se 0.0000 0.0000 0.5000 1
Mn1 Mn 0.5000 0.5000 0.5000 1
Zn1 Zn 0.0000 0.0000 0.0000 1
```

* energy relative to the elements, uncorrected: 1.8209 eV per atom
* symmetry: P4/mmm
* polymorph energy (0 for the lowest one): 31.905 kcal/mol of atoms



Entry 10:
This record from Alexandria via LeMat-Bulk describes a geometry-optimized HfCu2BC structure. The functional is PBE.

```
data_HfCu2BC
_symmetry_space_group_name_H-M 'P 1'
_symmetry_Int_Tables_number 1
_cell_length_a 5.0170
_cell_length_b 4.0789
_cell_length_c 5.0170
_cell_angle_alpha 90.00
_cell_angle_beta 90.00
_cell_angle_gamma 90.00
loop_
_symmetry_equiv_pos_as_xyz
'x,y,z'
loop_
_atom_site_label
_atom_site_type_symbol
_atom_site_fract_x
_atom_site_fract_y
_atom_site_fract_z
_atom_site_occupancy
Hf1 Hf 0.0000 0.0000 0.0000 1
B1 B 0.5000 0.5000 0.5000 1
Cu1 Cu 0.0000 0.0000 0.5000 1
Cu2 Cu 0.5000 0.0000 0.0000 1
C1 C 0.0000 0.5000 0.0000 1
```

* ΔE_f: 2.278 eV/atom
* symmetry: P4/mmm



Entry 11:
This record from Alexandria via LeMat-Bulk describes a geometry-optimized CuTeBr structure. The functional is PBE.

```
data_CuTeBr
_symmetry_space_group_name_H-M 'P 1'
_symmetry_Int_Tables_number 1
_cell_length_a 7.7531
_cell_length_b 7.1678
_cell_length_c 3.8681
_cell_angle_alpha 83.55
_cell_angle_beta 66.73
_cell_angle_gamma 29.72
loop_
_symmetry_equiv_pos_as_xyz
'x,y,z'
loop_
_atom_site_label
_atom_site_type_symbol
_atom_site_fract_x
_atom_site_fract_y
_atom_site_fract_z
_atom_site_occupancy
Br1 Br 0.9567 0.9567 0.0433 1
Te1 Te 0.7048 0.7048 0.2952 1
Cu1 Cu 0.3385 0.3385 0.6615 1
```

* energy relative to the elements, uncorrected: -0.0347 eV per atom
* symmetry: Fmm2



Q: Which total DFT energy (no corrections) values were calculated for the entries above? A: -6.380; -9.327; -3.851; -7.846; -2.772; -7.265; -2.943; -5.431; -4.295; -4.531; -3.005, in eV/atom.